This record from Alexandria via LeMat-Bulk describes a relaxed structure of RbTcS3. The functional is GGA-PBEsol.

Cell: 4.693 4.693 4.693 Å, 90.00 90.00 90.00°
Fractional coordinates of all 5 atoms:
1 Rb 0.000 0.000 0.000
2 Tc 0.500 0.500 0.500
3 S 0.000 0.500 0.500
4 S 0.500 0.000 0.500
5 S 0.500 0.500 0.000

Computed properties:
density = 4.49 g cm⁻³
E_form (uncorrected) = -0.38 eV per atom
crystal system = cubic
V = 103 Å³ per cell

=====

This record from Alexandria via LeMat-Bulk describes a relaxed structure of HgPtCl2. The functional is GGA-PBEsol.

Cell: 8.657 8.657 8.657 Å, 24.45 24.45 24.45°
Fractional coordinates of all 4 atoms:
1 Hg 0.000 0.000 0.000
2 Pt 0.500 0.500 0.500
3 Cl 0.219 0.219 0.219
4 Cl 0.781 0.781 0.781

Computed properties:
density = 7.93 g cm⁻³
E_form (uncorrected) = 0.09 eV per atom
crystal system = trigonal
V = 98 Å³ per cell

=====

This record from Alexandria via LeMat-Bulk describes a relaxed structure of YIr2Cl. The functional is GGA-PBEsol.

Cell: 3.139 3.657 7.387 Å, 90.00 90.00 90.00°
Fractional coordinates of all 4 atoms:
1 Y 0.000 0.000 0.000
2 Ir 0.000 0.000 0.639
3 Ir 0.500 0.500 0.739
4 Cl 0.500 0.500 0.209

Computed properties:
density = 9.96 g cm⁻³
E_form (uncorrected) = -0.40 eV per atom
crystal system = orthorhombic
V = 85 Å³ per cell

=====

This record from Alexandria via LeMat-Bulk describes a relaxed structure of FeNiSn3. The functional is GGA-PBEsol.

Cell: 4.766 4.766 4.766 Å, 90.00 90.00 90.00°
Fractional coordinates of all 5 atoms:
1 Fe 0.000 0.000 0.000
2 Ni 0.500 0.500 0.500
3 Sn 0.000 0.000 0.500
4 Sn 0.000 0.500 0.000
5 Sn 0.500 0.000 0.000

Computed properties:
density = 7.22 g cm⁻³
E_form = 498 meV/atom
crystal system = cubic
V = 108 Å³ per cell

=====

no.,calculated total energy (hartree per atom)
1,-0.2010
2,-0.1029
3,-0.2763
4,-0.1868